First-principles (GGA-PBE) data for KHoGa2Br6 after structural relaxation, as listed in the Alexandria database.

The space group is P1 (No. 1) and the conventional cell measures 7.8222, 7.8279 and 8.2857 Å, with angles of 61.85, 61.84 and 60.03 degrees. Symmetry generates all atoms from K at (0.0000, 0.0000, 0.0000), Ho at (0.5092, 0.5093, 0.4720), Ga at (0.1951, 0.1950, 0.4147), Ga at (0.7009, 0.7007, 0.8971), Br at (0.1506, 0.7530, 0.6838), Br at (0.3222, 0.5821, 0.2128), Br at (0.4125, 0.1507, 0.6836), Br at (0.5823, 0.8820, 0.2128), Br at (0.7534, 0.4123, 0.6835) and Br at (0.8822, 0.3229, 0.2124).

The spin magnetization comes out at 0.00 μB per cell. The density of states at the Fermi level comes out at 0.00 states/eV per cell. As for the raw formation energy: -1322 meV per atom.